# SrNdDy4Se8, relaxed, DFT PBE
# Calculated volume (Å³/cell): 1338.2
# Density (g/cm3): 5.63
# Crystal system: trigonal
# Total energy (eV/atom): -5.559
# Formation energy (no corrections) (eV/atom): -1.7924
data_SrNdDy4Se8
_chemical_formula_sum 'Sr3 Nd3 Dy12 Se24'
_space_group_name_H-M_alt 'R 3 m'
_space_group_IT_number 160
_space_group_name_Hall 'R 3 -2"'
_cell_length_a 8.5388
_cell_length_b 8.5388
_cell_length_c 21.1931
_cell_angle_alpha 90.00
_cell_angle_beta 90.00
_cell_angle_gamma 120.00
loop_
_atom_site_label
_atom_site_type_symbol
_atom_site_fract_x
_atom_site_fract_y
_atom_site_fract_z
Sr1 Sr 0.0000 0.0000 0.0000
Nd1 Nd 0.0000 0.0000 0.6287
Dy1 Dy 0.0000 0.0000 0.2524
Dy2 Dy 0.1689 0.3379 0.4595
Se1 Se 0.0000 0.0000 0.3846
Se2 Se 0.0000 0.0000 0.8626
Se3 Se 0.0305 0.5153 0.3844
Se4 Se 0.1739 0.3479 0.2051